! PaOs2Pt PBE optimized geometry; values from VASP
! **Electronic total energy**: -9.98 eV per atom
! **Crystal system**: tetragonal
! **Offset from the most stable computed form**: 0.0 meV/atom
! **DFT formation energy**: -186 kJ/mol of formula units
&SYSTEM
  ibrav = 0, nat = 4, ntyp = 3
/
ATOMIC_SPECIES
Pa 231.04 Pa.upf
Os 190.23 Os.upf
Pt 195.08 Pt.upf
ATOMIC_POSITIONS crystal
Pa 0.0000 0.0000 0.0000
Os 0.0000 0.5000 0.5000
Os 0.5000 0.0000 0.5000
Pt 0.5000 0.5000 0.0000
CELL_PARAMETERS angstrom
4.1401 0.0000 0.0000
0.0000 4.1401 0.0000
0.0000 0.0000 4.0045